(1)
Compound: Ca2TaCd
Source: Alexandria
Functional: PBE
Structure: relaxed

Properties
Formation energy ... 54 kJ/mol of atoms
V ... 102.57 Å³/cell
Symmetry ... I4/mmm

Lattice parameters (Å, degrees): 5.7964 5.7964 5.7964 132.91 132.91 68.79
Sites, in units of the cell vectors:
Cd: 0.2500 0.7500 0.5000
Ta: 0.7500 0.2500 0.5000
Ca: 0.0000 0.0000 0.0000
Ca: 0.5000 0.5000 0.0000

---

(2)
Compound: Pr2SmTm9
Source: Alexandria
Functional: PBE
Structure: relaxed

Properties
Formation energy ... 3 kJ/mol of atoms
Energy relative to the lowest polymorph listed for this composition ... 0.0000 eV/atom
V ... 375.41 Å³/cell
Symmetry ... P4/mmm

Lattice parameters (Å, degrees): 5.0023 5.0023 15.0024 90.00 90.00 90.00
Sites, in units of the cell vectors:
Tm: 0.5000 0.0000 0.8348
Tm: 0.0000 0.5000 0.5000
Tm: 0.5000 0.0000 0.5000
Tm: 0.5000 0.5000 0.0000
Tm: 0.0000 0.5000 0.1652
Tm: 0.5000 0.5000 0.6675
Tm: 0.5000 0.0000 0.1652
Tm: 0.5000 0.5000 0.3325
Tm: 0.0000 0.5000 0.8348
Pr: 0.0000 0.0000 0.3331
Pr: 0.0000 0.0000 0.6669
Sm: 0.0000 0.0000 0.0000

---

(3)
Compound: TcSe
Source: Alexandria
Functional: PBE
Structure: relaxed

Properties
Energy relative to the lowest polymorph listed for this composition ... 0.7306 eV/atom
ΔE_f (raw) ... 0.52 eV/atom
V ... 317.74 Å³/cell
Symmetry ... Pm-3n

Lattice parameters (Å, degrees): 6.8237 6.8237 6.8237 90.00 90.00 90.00
Sites, in units of the cell vectors:
Se: 0.5000 0.7500 0.0000
Se: 0.0000 0.5000 0.7500
Se: 0.2500 0.0000 0.5000
Se: 0.5000 0.2500 0.0000
Se: 0.7500 0.0000 0.5000
Se: 0.0000 0.5000 0.2500
Tc: 0.0000 0.7500 0.5000
Tc: 0.0000 0.2500 0.5000
Tc: 0.2500 0.5000 0.0000
Tc: 0.5000 0.0000 0.2500
Tc: 0.5000 0.0000 0.7500
Tc: 0.7500 0.5000 0.0000

---

(4)
Compound: TaHgRu4
Source: Alexandria
Functional: PBE
Structure: relaxed

Properties
Formation energy ... 27 kJ/mol of atoms
V ... 96.30 Å³/cell
Symmetry ... F-43m

Lattice parameters (Å, degrees): 5.1450 5.1450 5.1450 60.00 60.00 60.00
Sites, in units of the cell vectors:
Ru: 0.6252 0.6252 0.1244
Ru: 0.1244 0.6252 0.6252
Ru: 0.6252 0.1244 0.6252
Ru: 0.6252 0.6252 0.6252
Hg: 0.0000 0.0000 0.0000
Ta: 0.2500 0.2500 0.2500

---

(5)
Compound: Be2TcPb
Source: Alexandria
Functional: PBE
Structure: relaxed

Properties
Formation energy ... 52 kJ/mol of atoms
V ... 58.18 Å³/cell
Symmetry ... Immm

Lattice parameters (Å, degrees): 4.9005 4.9005 4.9005 139.74 129.03 66.87
Sites, in units of the cell vectors:
Be: 0.5174 0.5174 0.0000
Be: 0.9826 0.9826 0.0000
Pb: 0.2500 0.7500 0.5000
Tc: 0.7500 0.2500 0.5000

---

(6)
Compound: Zr3MnTl3S8
Source: Alexandria
Functional: PBE
Structure: relaxed

Properties
ΔE_f (raw) ... -1.06 eV/atom
V ... 368.02 Å³/cell
Symmetry ... R-3m

Lattice parameters (Å, degrees): 7.4329 7.4348 8.8032 114.95 90.01 119.98
Sites, in units of the cell vectors:
S: 0.7702 0.5404 0.3110
S: 0.2687 0.5374 0.3054
S: 0.2711 0.0411 0.3110
S: 0.2298 0.4596 0.6890
S: 0.7289 0.9589 0.6890
S: 0.2300 0.9588 0.6890
S: 0.7313 0.4626 0.6946
S: 0.7700 0.0412 0.3110
Tl: 0.5000 0.5000 0.0000
Tl: 0.0000 0.0000 0.0000
Tl: 0.0000 0.5000 0.0000
Zr: 0.0000 0.5000 0.5000
Zr: 0.5000 0.0000 0.5000
Zr: 0.5000 0.5000 0.5000
Mn: 0.0000 0.0000 0.5000

---

(7)
Compound: SrTcHg2
Source: Alexandria
Functional: PBE
Structure: relaxed

Properties
Formation energy ... 59 kJ/mol of atoms
Energy relative to the lowest polymorph listed for this composition ... 0.3187 eV/atom
V ... 97.95 Å³/cell
Symmetry ... R3m

Lattice parameters (Å, degrees): 9.8811 9.8811 9.8811 19.92 19.92 19.92
Sites, in units of the cell vectors:
Hg: 0.0064 0.0064 0.0064
Hg: 0.2547 0.2547 0.2547
Sr: 0.4941 0.4941 0.4941
Tc: 0.7448 0.7448 0.7448

---

(8)
Compound: Dy6Se8Cl
Source: Alexandria
Functional: PBE
Structure: relaxed

Properties
ΔE_f (raw) ... -1.71 eV/atom
V ... 454.17 Å³/cell
Symmetry ... P-3

Lattice parameters (Å, degrees): 4.2085 11.1630 11.1630 120.00 90.00 90.00
Sites, in units of the cell vectors:
Se: 0.7523 0.6231 0.9534
Se: 0.7523 0.3303 0.3769
Se: 0.2477 0.9534 0.3303
Se: 0.2477 0.6697 0.6231
Se: 0.7523 0.0466 0.6697
Se: 0.2477 0.3769 0.0466
Se: 0.2492 0.3333 0.6667
Se: 0.7508 0.6667 0.3333
Dy: 0.7481 0.3315 0.8618
Dy: 0.2519 0.6685 0.1382
Dy: 0.2519 0.8618 0.5303
Dy: 0.2519 0.4697 0.3315
Dy: 0.7481 0.1382 0.4697
Dy: 0.7481 0.5303 0.6685
Cl: 0.5000 0.0000 0.0000

---

(9)
Compound: Th2UMoC4
Source: Alexandria
Functional: PBE
Structure: relaxed

Properties
Formation energy ... 11 kJ/mol of atoms
V ... 272.02 Å³/cell
Symmetry ... Cmcm

Lattice parameters (Å, degrees): 3.4893 6.2982 12.8821 90.00 90.00 106.08
Sites, in units of the cell vectors:
C: 0.0000 0.0000 0.5000
C: 0.7222 0.4444 0.8592
C: 0.7222 0.4444 0.6408
C: 0.5587 0.1174 0.2500
C: 0.2778 0.5556 0.3592
C: 0.2778 0.5556 0.1408
C: 0.0000 0.0000 0.0000
C: 0.4413 0.8826 0.7500
U: 0.1029 0.2059 0.7500
U: 0.8971 0.7941 0.2500
Th: 0.6350 0.2699 0.0394
Th: 0.3650 0.7301 0.5394
Th: 0.6350 0.2699 0.4606
Th: 0.3650 0.7301 0.9606
Mo: 0.1639 0.3278 0.2500
Mo: 0.8361 0.6722 0.7500

---

(10)
Compound: NaTl4Bi3
Source: Alexandria
Functional: PBE
Structure: relaxed

Properties
Formation energy ... -9 kJ/mol of atoms
V ... 250.30 Å³/cell
Symmetry ... C2/m

Lattice parameters (Å, degrees): 5.2062 5.1209 10.0528 75.73 105.01 90.00
Sites, in units of the cell vectors:
Tl: 0.3792 0.6220 0.7583
Tl: 0.2521 0.2484 0.5042
Tl: 0.7479 0.7516 0.4958
Tl: 0.6208 0.3780 0.2417
Bi: 0.1246 0.8773 0.2493
Bi: 0.8754 0.1227 0.7507
Bi: 0.0000 0.5000 0.0000
Na: 0.5000 0.0000 0.0000

---

(11)
Compound: Mg3In2Hg6
Source: Alexandria
Functional: PBE
Structure: relaxed

Properties
Formation energy ... -6 kJ/mol of atoms
V ... 279.36 Å³/cell
Symmetry ... R-3m

Lattice parameters (Å, degrees): 3.8501 3.8501 21.8752 84.95 84.95 60.00
Sites, in units of the cell vectors:
Hg: 0.9140 0.9140 0.2580
Hg: 0.1829 0.1829 0.4512
Hg: 0.0860 0.0860 0.7420
Hg: 0.6382 0.6382 0.0854
Hg: 0.8171 0.8171 0.5488
Hg: 0.3618 0.3618 0.9146
In: 0.5484 0.5484 0.3548
In: 0.4516 0.4516 0.6452
Mg: 0.0000 0.0000 0.0000
Mg: 0.2760 0.2760 0.1719
Mg: 0.7240 0.7240 0.8281

---

(12)
Compound: Sr8Li2Cd
Source: Alexandria
Functional: PBE
Structure: relaxed

Properties
Formation energy ... -2 kJ/mol of atoms
Energy relative to the lowest polymorph listed for this composition ... 0.0000 eV/atom
V ... 491.67 Å³/cell
Symmetry ... C2/m

Lattice parameters (Å, degrees): 6.0940 8.1991 10.8067 107.59 106.38 90.00
Sites, in units of the cell vectors:
Sr: 0.8006 0.6973 0.6012
Sr: 0.9751 0.2135 0.9502
Sr: 0.0249 0.7865 0.0498
Sr: 0.1994 0.3027 0.3988
Sr: 0.4076 0.5616 0.8151
Sr: 0.6610 0.9645 0.3219
Sr: 0.3390 0.0355 0.6781
Sr: 0.5924 0.4384 0.1849
Cd: 0.5000 0.0000 0.0000
Li: 0.8191 0.2924 0.6383
Li: 0.1809 0.7076 0.3617

---

(13)
Compound: Zn2In2Sb
Source: Alexandria
Functional: PBE
Structure: relaxed

Properties
Energy relative to the lowest polymorph listed for this composition ... 0.0948 eV/atom
ΔE_f (raw) ... 0.18 eV/atom
V ... 116.44 Å³/cell
Symmetry ... I4/mmm

Lattice parameters (Å, degrees): 4.3325 4.3325 6.9183 71.75 71.75 90.00
Sites, in units of the cell vectors:
Sb: 0.0000 0.0000 0.0000
Zn: 0.5968 0.5968 0.8065
Zn: 0.4032 0.4032 0.1935
In: 0.2500 0.7500 0.5000
In: 0.7500 0.2500 0.5000

---

(14)
Compound: YMgSeN2
Source: Alexandria
Functional: PBE
Structure: relaxed

Properties
Energy relative to the lowest polymorph listed for this composition ... 0.0000 eV/atom
ΔE_f (raw) ... 0.21 eV/atom
V ... 84.37 Å³/cell
Symmetry ... P4/mmm

Lattice parameters (Å, degrees): 4.1101 4.1101 4.9944 90.00 90.00 90.00
Sites, in units of the cell vectors:
Mg: 0.0000 0.0000 0.0000
Y: 0.5000 0.5000 0.5000
N: 0.5000 0.0000 0.0000
N: 0.0000 0.5000 0.0000
Se: 0.0000 0.0000 0.5000

---

(15)
Compound: AlMoBr2
Source: Alexandria
Functional: PBE
Structure: relaxed

Properties
Energy relative to the lowest polymorph listed for this composition ... 0.7646 eV/atom
ΔE_f (raw) ... 0.55 eV/atom
V ... 85.39 Å³/cell
Symmetry ... Pmmm

Lattice parameters (Å, degrees): 3.2649 5.7714 4.5316 90.00 90.00 90.00
Sites, in units of the cell vectors:
Br: 0.0000 0.0000 0.0000
Br: 0.5000 0.5000 0.0000
Mo: 0.5000 0.0000 0.5000
Al: 0.0000 0.5000 0.5000

---

(16)
Compound: TbPr3Sm2
Source: Alexandria
Functional: PBE
Structure: relaxed

Properties
Formation energy ... 5 kJ/mol of atoms
Energy relative to the lowest polymorph listed for this composition ... 0.0000 eV/atom
V ... 420.53 Å³/cell
Symmetry ... P2_1/m

Lattice parameters (Å, degrees): 3.7447 8.6043 13.0515 89.99 90.00 90.00
Sites, in units of the cell vectors:
Pr: 0.7500 0.6537 0.9444
Pr: 0.2500 0.9123 0.3900
Pr: 0.2500 0.3463 0.0556
Pr: 0.2500 0.3954 0.7481
Pr: 0.7500 0.0877 0.6100
Pr: 0.7500 0.6046 0.2519
Sm: 0.7500 0.6492 0.5523
Sm: 0.7500 0.0835 0.8910
Sm: 0.2500 0.3508 0.4477
Sm: 0.2500 0.9165 0.1090
Tb: 0.2500 0.8098 0.7478
Tb: 0.7500 0.1902 0.2522

---

(17)
Compound: BaZnW
Source: Alexandria
Functional: PBE
Structure: relaxed

Properties
Formation energy ... 112 kJ/mol of atoms
Energy relative to the lowest polymorph listed for this composition ... 0.2838 eV/atom
V ... 70.07 Å³/cell
Symmetry ... P-6m2

Lattice parameters (Å, degrees): 5.1630 5.1630 3.0352 90.00 90.00 120.00
Sites, in units of the cell vectors:
W: 0.6667 0.3333 0.4997
Zn: 0.3333 0.6667 0.5005
Ba: 0.0000 0.0000 0.9998

---

(18)
Compound: Y2ErCd3
Source: Alexandria
Functional: PBE
Structure: relaxed

Properties
Formation energy ... -33 kJ/mol of atoms
V ... 156.78 Å³/cell
Symmetry ... P4/mmm

Lattice parameters (Å, degrees): 3.7382 3.7382 11.2192 90.00 90.00 90.00
Sites, in units of the cell vectors:
Y: 0.5000 0.5000 0.1679
Y: 0.5000 0.5000 0.8321
Cd: 0.0000 0.0000 0.6633
Cd: 0.0000 0.0000 0.3367
Cd: 0.0000 0.0000 0.0000
Er: 0.5000 0.5000 0.5000

---

(19)
Compound: Li2AlHg
Source: Alexandria
Functional: PBE
Structure: relaxed

Properties
Formation energy ... -22 kJ/mol of atoms
V ... 67.41 Å³/cell
Symmetry ... P2/m

Lattice parameters (Å, degrees): 3.4824 3.1992 6.8850 61.50 90.00 90.00
Sites, in units of the cell vectors:
Li: 0.0000 0.5055 0.4953
Li: 0.0000 0.9945 0.0047
Al: 0.5000 0.2500 0.2500
Hg: 0.5000 0.7500 0.7500

---

(20)
Compound: Pr2DyBe
Source: Alexandria
Functional: PBE
Structure: relaxed

Properties
Formation energy ... 13 kJ/mol of atoms
Energy relative to the lowest polymorph listed for this composition ... 0.0000 eV/atom
V ... 113.11 Å³/cell
Symmetry ... P4/mmm

Lattice parameters (Å, degrees): 3.6117 3.6117 8.6716 90.00 90.00 90.00
Sites, in units of the cell vectors:
Be: 0.5000 0.5000 0.0000
Dy: 0.5000 0.5000 0.5000
Pr: 0.0000 0.0000 0.1990
Pr: 0.0000 0.0000 0.8010